Density functional theory data (GGA-PBE) for a relaxed structure of Li4Ga.

It has space group Pm-3m (No. 221), with a = 4.934 Å, b = 4.934 Å, c = 4.934 Å, α = 90.00°, β = 90.00° and γ = 90.00°. Symmetry generates all atoms from Li at (0.000, 0.000, 0.000), Li at (0.000, 0.500, 0.500) and Ga at (0.500, 0.500, 0.500).

As for the total energy: -10.1 eV for the cell shown.

Density functional theory data (GGA-PBE) for a relaxed structure of Dy2Tm7In.

It has space group Cmmm (No. 65), with a = 8.580 Å, b = 16.291 Å, c = 5.193 Å, α = 90.00°, β = 90.00° and γ = 90.00°. Symmetry generates all atoms from Dy at (0.000, 0.207, 0.000), Tm at (0.000, 0.000, 0.000), Tm at (0.000, 0.304, 0.500), Tm at (0.177, 0.395, 0.000) and In at (0.000, 0.500, 0.500).

As for the total energy: -74.3 eV for the cell shown.

Density functional theory data (GGA-PBE) for a relaxed structure of MgTcIr2.

It has space group Cmmm (No. 65), with a = 5.619 Å, b = 7.630 Å, c = 2.768 Å, α = 90.00°, β = 90.00° and γ = 90.00°. Symmetry generates all atoms from Mg at (0.000, 0.000, 0.000), Tc at (0.000, 0.500, 0.000) and Ir at (0.250, 0.250, 0.500).

As for the total energy: -60.6 eV for the cell shown.

Density functional theory data (GGA-PBE) for a relaxed structure of LiInPt2.

It has space group P4/mmm (No. 123), with a = 3.037 Å, b = 3.037 Å, c = 6.731 Å, α = 90.00°, β = 90.00° and γ = 90.00°. Symmetry generates all atoms from Li at (0.000, 0.000, 0.000), In at (0.000, 0.000, 0.500) and Pt at (0.500, 0.500, 0.225).

As for the total energy: -18.7 eV for the cell shown.

Density functional theory data (GGA-PBE) for a relaxed structure of Tb3TmSb2.

It has space group Ibam (No. 72), with a = 6.982 Å, b = 14.333 Å, c = 7.672 Å, α = 90.00°, β = 90.00° and γ = 90.00°. Symmetry generates all atoms from Tb at (0.000, 0.000, 0.250), Tb at (0.000, 0.293, 0.250), Tm at (0.000, 0.500, 0.000) and Sb at (0.175, 0.146, 0.000).

The uncorrected formation energy comes out at -0.565 eV/atom. As for the total energy: -120.0 eV for the cell shown.

Density functional theory data (GGA-PBE) for a relaxed structure of AsC3.

It has space group P1 (No. 1), with a = 2.732 Å, b = 3.729 Å, c = 4.863 Å, α = 77.66°, β = 89.99° and γ = 75.87°. Symmetry generates all atoms from As at (0.000, 0.000, 0.000), C at (0.052, 0.828, 0.409), C at (0.565, 0.807, 0.542) and C at (0.583, 0.749, 0.849).

As for the total energy: -28.2 eV for the cell shown.

Density functional theory data (GGA-PBE) for a relaxed structure of LaY2Al2.

It has space group P4/mbm (No. 127), with a = 8.937 Å, b = 8.937 Å, c = 3.346 Å, α = 90.00°, β = 90.00° and γ = 90.00°. Symmetry generates all atoms from La at (0.000, 0.000, 0.000), Y at (0.129, 0.371, 0.000) and Al at (0.170, 0.670, 0.500).

As for the total energy: -53.1 eV for the cell shown.

Density functional theory data (GGA-PBE) for a relaxed structure of MgFe4Pt5.

It has space group P4/mmm (No. 123), with a = 2.779 Å, b = 2.779 Å, c = 18.641 Å, α = 90.00°, β = 90.00° and γ = 90.00°. Symmetry generates all atoms from Mg at (0.000, 0.000, 0.000), Fe at (0.000, 0.000, 0.203), Fe at (0.000, 0.000, 0.401), Pt at (0.500, 0.500, 0.105), Pt at (0.500, 0.500, 0.302) and Pt at (0.500, 0.500, 0.500).

As for the total energy: -69.1 eV for the cell shown.